No. 1
VASP calculation (PBE) on crystalline SrPuI2 at its relaxed geometry.

Cell lengths 4.1957, 4.1957, 33.3482 Å; angles 90.00, 90.00, 120.00 degrees
Space group R-3m (No. 166, hexagonal axes)
Symmetry-distinct sites (fractional):
1 Sr 0.0000 0.0000 0.0000 (multiplicity 3)
2 Pu 0.0000 0.0000 0.5000 (multiplicity 3)
3 I 0.0000 0.0000 0.1038 (multiplicity 6)

## Properties
**D(E_F)**: 7.4 states/eV/f.u.
**Raw formation energy**: -753 meV/atom
**Spin magnetization**: 6.458 μB per formula unit
**Final energy**: -5.5319 eV per atom
**Crystal system**: trigonal

***

No. 2
VASP calculation (PBE) on crystalline RbMgSeBr2 at its relaxed geometry.

Cell lengths 5.493, 5.493, 5.222 Å; angles 90.00, 90.00, 90.00 degrees
Space group P4/mmm (No. 123)
Symmetry-distinct sites (fractional):
1 Rb 0.000 0.000 0.000 (multiplicity 1)
2 Mg 0.500 0.500 0.500 (multiplicity 1)
3 Se 0.500 0.500 0.000 (multiplicity 1)
4 Br 0.000 0.500 0.500 (multiplicity 2)

## Properties
**D(E_F)**: 3.4 states/eV/f.u.
**Raw formation energy**: -1134 meV/atom
**Spin magnetization**: 1.009 μB per formula unit
**Final energy**: -3.0129 eV per atom
**Crystal system**: tetragonal

***

No. 3
VASP calculation (PBE) on crystalline La2HCl at its relaxed geometry.

Cell lengths 6.014, 6.047, 11.574 Å; angles 90.00, 117.68, 90.00 degrees
Space group P2/c (No. 13)
Symmetry-distinct sites (fractional):
1 La 0.064 0.240 0.086 (multiplicity 4)
2 La 0.333 0.233 0.834 (multiplicity 4)
3 H 0.254 0.122 0.622 (multiplicity 4)
4 Cl 0.399 0.268 0.377 (multiplicity 4)

## Properties
**D(E_F)**: 2.3 states/eV/f.u.
**Spin magnetization**: 0.000 μB per formula unit
**Final energy**: -4.7448 eV per atom
**Crystal system**: monoclinic

***

No. 4
VASP calculation (PBE) on crystalline TmBRh6 at its relaxed geometry.

Cell lengths 8.0616, 8.0616, 6.4993 Å; angles 90.00, 90.00, 120.00 degrees
Space group R-3m (No. 166, hexagonal axes)
Symmetry-distinct sites (fractional):
1 Tm 0.0000 0.0000 0.0000 (multiplicity 3)
2 B 0.0000 0.0000 0.5000 (multiplicity 3)
3 Rh 0.0628 0.5314 0.3142 (multiplicity 18)

## Properties
**D(E_F)**: 11.0 states/eV/f.u.
**Spin magnetization**: 0.000 μB per formula unit
**DFT formation energy**: -0.143 eV per atom
**Final energy**: -7.0506 eV per atom
**Crystal system**: trigonal

***

No. 5
VASP calculation (PBE) on crystalline RbYSn2Cl8 at its relaxed geometry.

Cell lengths 6.482, 6.930, 9.154 Å; angles 85.88, 88.13, 87.49 degrees
Space group P-1 (No. 2)
Symmetry-distinct sites (fractional):
1 Rb 0.000 0.000 0.000 (multiplicity 1)
2 Y 0.000 0.000 0.500 (multiplicity 1)
3 Sn 0.489 0.481 0.253 (multiplicity 2)
4 Cl 0.219 0.824 0.296 (multiplicity 2)
5 Cl 0.235 0.313 0.461 (multiplicity 2)
6 Cl 0.254 0.863 0.710 (multiplicity 2)
7 Cl 0.277 0.374 0.045 (multiplicity 2)

## Properties
**D(E_F)**: 0.0 states/eV/f.u.
**Raw formation energy**: -1584 meV/atom
**Spin magnetization**: 0.000 μB per formula unit
**Final energy**: -4.1019 eV per atom
**Crystal system**: triclinic

***

No. 6
VASP calculation (PBE) on crystalline PdC at its relaxed geometry.

Cell lengths 4.724, 4.724, 4.724 Å; angles 90.00, 90.00, 90.00 degrees
Space group F-43m (No. 216)
Symmetry-distinct sites (fractional):
1 Pd 0.000 0.000 0.000 (multiplicity 4)
2 C 0.250 0.250 0.250 (multiplicity 4)

## Properties
**D(E_F)**: 1.0 states/eV/f.u.
**Spin magnetization**: 0.000 μB per formula unit
**DFT formation energy**: 1.221 eV per atom
**Final energy**: -5.9876 eV per atom
**Crystal system**: cubic

***

No. 7
VASP calculation (PBE) on crystalline CoOs3 at its relaxed geometry.

Cell lengths 2.7269, 2.7269, 8.4440 Å; angles 90.00, 90.00, 120.00 degrees
Space group P-6m2 (No. 187)
Symmetry-distinct sites (fractional):
1 Co 0.0000 0.0000 0.0000 (multiplicity 1)
2 Os 0.0000 0.0000 0.5000 (multiplicity 1)
3 Os 0.3333 0.6667 0.2440 (multiplicity 2)

## Properties
**D(E_F)**: 3.5 states/eV/f.u.
**Spin magnetization**: 1.241 μB per formula unit
**DFT formation energy**: 0.089 eV per atom
**Final energy**: -10.1094 eV per atom
**Crystal system**: hexagonal

***

No. 8
VASP calculation (PBE) on crystalline CdFe2P at its relaxed geometry.

Cell lengths 3.366, 4.694, 7.216 Å; angles 90.00, 90.00, 90.00 degrees
Space group Immm (No. 71)
Symmetry-distinct sites (fractional):
1 Cd 0.000 0.000 0.000 (multiplicity 2)
2 Fe 0.000 0.500 0.189 (multiplicity 4)
3 P 0.000 0.000 0.500 (multiplicity 2)

## Properties
**D(E_F)**: 3.9 states/eV/f.u.
**Spin magnetization**: 2.888 μB per formula unit
**DFT formation energy**: 0.188 eV per atom
**Final energy**: -5.6244 eV per atom
**Crystal system**: orthorhombic